## Ca2Be2MoO6 (PBE with a Hubbard U)

Data for a relaxed structure of Ca2Be2MoO6.

```
Ca2Be2MoO6
1.0
2.672 1.543 5.269
-2.672 1.543 5.269
0.000 -3.085 5.269
Ca Be Mo O
2 2 1 6
direct
0.207 0.207 0.207
0.793 0.793 0.793
0.417 0.417 0.417
0.583 0.583 0.583
0.000 0.000 0.000
0.252 0.746 0.746
0.254 0.254 0.748
0.254 0.748 0.254
0.746 0.252 0.746
0.746 0.746 0.252
0.748 0.254 0.254
```

Values from the calculation:
theoretical density	3.70	g cm⁻³
DFT total energy	-74.573	eV per cell